# 1
Below is an optimized crystal structure of Hf2TaS6, with properties calculated at the PBE level.

Cell lengths 3.4690, 3.4690, 21.1103 Å; angles 90.00, 90.00, 120.00 degrees
Fractional positions:
1 Ta 0.3333 0.6667 0.0000
2 S 0.3333 0.6667 0.3995
3 S 0.6667 0.3333 0.0723
4 S 0.3333 0.6667 0.7504
5 S 0.3333 0.6667 0.2496
6 S 0.6667 0.3333 0.9277
7 S 0.3333 0.6667 0.6005
8 Hf 0.6667 0.3333 0.6755
9 Hf 0.6667 0.3333 0.3245

Relative energy among the computed polymorphs ... 0.128 eV per atom
Calculated volume ... 24.45 Å³/atom
Magnetization ... 0.05 Bohr magnetons per cell
Uncorrected formation energy ... -28.61 kcal/mol of atoms
Space-group type ... P-6m2



# 2
Below is an optimized crystal structure of Dy4Hg3Ru, with properties calculated at the PBE level.

Cell lengths 3.5587, 3.5587, 15.2851 Å; angles 90.00, 90.00, 90.00 degrees
Fractional positions:
1 Dy 0.0000 0.0000 0.8938
2 Dy 0.0000 0.0000 0.6289
3 Dy 0.0000 0.0000 0.3711
4 Dy 0.0000 0.0000 0.1062
5 Ru 0.5000 0.5000 0.0000
6 Hg 0.5000 0.5000 0.7564
7 Hg 0.5000 0.5000 0.2436
8 Hg 0.5000 0.5000 0.5000

Formation energy ... -0.469 eV per atom
Calculated volume ... 24.20 Å³/atom
Magnetization ... 0.00 Bohr magnetons per cell
Space-group type ... P4/mmm



# 3
Below is an optimized crystal structure of Dy5Ga4Au, with properties calculated at the PBE level.

Cell lengths 3.5717, 3.5717, 17.9767 Å; angles 90.00, 90.00, 90.00 degrees
Fractional positions:
1 Ga 0.0000 0.0000 0.4014
2 Ga 0.0000 0.0000 0.5986
3 Ga 0.0000 0.0000 0.7979
4 Ga 0.0000 0.0000 0.2021
5 Dy 0.5000 0.5000 0.6988
6 Dy 0.5000 0.5000 0.8992
7 Dy 0.5000 0.5000 0.5000
8 Dy 0.5000 0.5000 0.3012
9 Dy 0.5000 0.5000 0.1008
10 Au 0.0000 0.0000 0.0000

Formation energy ... -0.631 eV per atom
Calculated volume ... 22.93 Å³/atom
Magnetization ... 0.00 Bohr magnetons per cell
Space-group type ... P4/mmm



# 4
Below is an optimized crystal structure of Y5Tm2Th, with properties calculated at the PBE level.

Cell lengths 5.0118, 7.1176, 14.2731 Å; angles 90.00, 90.00, 90.00 degrees
Fractional positions:
1 Y 0.0000 0.5028 0.2483
2 Y 0.5000 0.2534 0.8768
3 Y 0.5000 0.7466 0.1232
4 Y 0.0000 0.0028 0.2517
5 Y 0.0000 0.5000 0.5000
6 Y 0.5000 0.2466 0.3768
7 Y 0.0000 0.9972 0.7483
8 Y 0.5000 0.7534 0.6232
9 Y 0.0000 0.0000 0.0000
10 Y 0.0000 0.4972 0.7517
11 Tm 0.5000 0.7569 0.3771
12 Tm 0.5000 0.2431 0.6229
13 Tm 0.5000 0.7431 0.8771
14 Tm 0.5000 0.2569 0.1229
15 Th 0.0000 0.5000 0.0000
16 Th 0.0000 0.0000 0.5000

Formation energy ... 0.031 eV per atom
Calculated volume ... 31.82 Å³/atom
Magnetization ... 0.00 Bohr magnetons per cell
Space-group type ... Pbam



# 5
Below is an optimized crystal structure of CoHg2Se, with properties calculated at the PBE level.

Cell lengths 6.4454, 6.4454, 6.4454 Å; angles 145.02, 145.02, 50.30 degrees
Fractional positions:
1 Co 0.7500 0.2500 0.5000
2 Hg 0.0000 0.0000 0.0000
3 Hg 0.5000 0.5000 0.0000
4 Se 0.2500 0.7500 0.5000

Calculated volume ... 21.89 Å³/atom
Magnetization ... 2.27 Bohr magnetons per cell
Uncorrected formation energy ... 11.16 kcal/mol of atoms
Space-group type ... I4/mmm



# 6
Below is an optimized crystal structure of YHo5Mg3, with properties calculated at the PBE level.

Cell lengths 6.9255, 9.3142, 9.3140 Å; angles 120.00, 90.00, 90.00 degrees
Fractional positions:
1 Ho 0.2500 0.3349 0.3349
2 Ho 0.7500 0.3350 0.0000
3 Ho 0.7500 0.0000 0.3349
4 Ho 0.5000 0.6666 0.3333
5 Ho 0.7500 0.6651 0.6651
6 Ho 0.2500 0.6650 0.0000
7 Ho 0.2500 0.0000 0.6651
8 Ho 0.0000 0.6666 0.3333
9 Ho 0.0000 0.3334 0.6667
10 Ho 0.5000 0.3334 0.6667
11 Mg 0.2500 0.3325 0.0000
12 Mg 0.2500 0.0000 0.3325
13 Mg 0.7500 0.3325 0.3325
14 Mg 0.7500 0.6675 0.0000
15 Mg 0.2500 0.6675 0.6675
16 Mg 0.7500 0.0000 0.6675
17 Y 0.0000 0.0000 0.0000
18 Y 0.5000 0.0000 0.0000

Formation energy ... 0.009 eV per atom
Calculated volume ... 28.91 Å³/atom
Magnetization ... 0.00 Bohr magnetons per cell
Space-group type ... P6_3/mcm



> Number 3 is which compound?

Dy5Ga4Au



> What is the calculated volume in the sixth record?

28.91 Å³/atom



> What is the formula in the second record?

Dy4Hg3Ru



> Which value of calculated volume does entry 5 give?

21.89 Å³/atom